The following is a DFT calculation (GGA-PBE) of crystalline ScMo3Ru at its relaxed geometry.

a b c (Å): 4.509 4.509 4.509
angles (deg): 90.00 90.00 90.00
Positions (direct):
Sc 0.000 0.000 0.000
Mo 0.000 0.500 0.000
Mo 0.500 0.000 0.000
Mo 0.000 0.000 0.500
Ru 0.500 0.500 0.500

Summary:
Calculated volume ... 91.7 Å³ per cell
Calculated formation energy ... 2113 meV/atom
N(E_F) ... 10.24 states/eV per cell
Excess energy over the best structure of this formula in the dataset ... 0.923 eV per atom

The following is a DFT calculation (GGA-PBE) of crystalline Zr2BeZn2 at its relaxed geometry.

a b c (Å): 6.321 6.321 4.306
angles (deg): 90.00 90.00 90.00
Positions (direct):
Zr 0.671 0.829 0.500
Zr 0.171 0.671 0.500
Zr 0.329 0.171 0.500
Zr 0.829 0.329 0.500
Zn 0.860 0.640 0.000
Zn 0.360 0.860 0.000
Zn 0.640 0.140 0.000
Zn 0.140 0.360 0.000
Be 0.500 0.500 0.000
Be 0.000 0.000 0.000

Summary:
Calculated volume ... 172.0 Å³ per cell
Calculated formation energy ... -143 meV/atom
N(E_F) ... 1.18 states/eV per cell

The following is a DFT calculation (GGA-PBE) of crystalline NaErO2 at its relaxed geometry.

a b c (Å): 7.365 7.365 5.917
angles (deg): 75.97 75.97 126.51
Positions (direct):
O 0.767 0.640 0.295
O 0.460 0.084 0.707
O 0.916 0.540 0.793
O 0.640 0.767 0.795
O 0.360 0.233 0.205
O 0.540 0.916 0.293
O 0.233 0.360 0.705
O 0.084 0.460 0.207
Na 0.820 0.180 0.750
Na 0.944 0.056 0.250
Na 0.180 0.820 0.250
Na 0.056 0.944 0.750
Er 0.307 0.693 0.750
Er 0.433 0.567 0.250
Er 0.693 0.307 0.250
Er 0.567 0.433 0.750

Summary:
Raw formation energy ... -2.843 eV per atom
Calculated volume ... 217.4 Å³ per cell
N(E_F) ... 0.00 states/eV per cell

Listing spin magnetization for the structures above in their given order: 0.00, 0.00, 0.00 Bohr magnetons per cell.
Listing mass density for the structures above in their given order: 7.86, 6.22, 6.79 g/cm³.